i:
A plane-wave DFT calculation with PBE was carried out for an optimized crystal structure of CeSc3Ni8.

Calculated density ... 7.24 Mg/m³

Geometry as POSCAR:
```
CeSc3Ni8
1.0
2.4698 1.4259 8.0822
-2.4698 1.4259 8.0822
0.0000 -2.8518 8.0822
Ce Sc Ni
1 3 8
Direct
0.0000 0.0000 0.0000
0.1279 0.1279 0.1279
0.4984 0.4984 0.4984
0.6207 0.6207 0.6207
0.0616 0.0616 0.5581
0.0616 0.5581 0.0616
0.0635 0.5635 0.5635
0.3116 0.3116 0.3116
0.5581 0.0616 0.0616
0.5635 0.0635 0.5635
0.5635 0.5635 0.0635
0.8119 0.8119 0.8119
```

=====

ii:
A plane-wave DFT calculation with PBE was carried out for an optimized crystal structure of CeSc3Ni8.

Calculated density ... 7.21 Mg/m³

Geometry as POSCAR:
```
CeSc3Ni8
1.0
4.9459 0.0000 0.0000
-2.4730 4.2833 0.0000
0.0000 0.0000 8.0936
Ce Sc Ni
1 3 8
Direct
0.0000 0.0000 0.0000
0.0000 0.0000 0.3816
0.6667 0.3333 0.4924
0.6667 0.3333 0.8571
0.1671 0.3341 0.6783
0.1671 0.8329 0.6783
0.3333 0.6667 0.4305
0.3333 0.6667 0.9307
0.5011 0.0022 0.1870
0.5011 0.4989 0.1870
0.6659 0.8329 0.6783
0.9978 0.4989 0.1870
```

=====

Most stable: i. Least stable: ii.

=====

i:
A plane-wave DFT calculation with PBE was carried out for an optimized crystal structure of Ce3Si4Ni2.

Calculated density ... 6.44 Mg/m³

Geometry as POSCAR:
```
Ce3Si4Ni2
1.0
5.4365 -2.0273 0.0000
5.4365 2.0273 0.0000
-3.0841 0.0000 7.6024
Ce Si Ni
3 4 2
Direct
0.0000 0.0000 0.0000
0.3944 0.3944 0.3309
0.6056 0.6056 0.6691
0.1302 0.1302 0.4065
0.2741 0.2741 0.9346
0.7259 0.7259 0.0654
0.8698 0.8698 0.5935
0.3197 0.3197 0.6839
0.6803 0.6803 0.3161
```

=====

ii:
A plane-wave DFT calculation with PBE was carried out for an optimized crystal structure of Ce3Si4Ni2.

Calculated density ... 6.26 Mg/m³

Geometry as POSCAR:
```
Ce3Si4Ni2
1.0
5.3763 -2.0274 0.0000
5.3763 2.0274 0.0000
-1.4486 0.0000 7.9113
Ce Si Ni
3 4 2
Direct
0.0000 0.0000 0.0000
0.3356 0.3356 0.3363
0.6644 0.6644 0.6637
0.0570 0.0570 0.3843
0.2799 0.2799 0.9364
0.7201 0.7201 0.0636
0.9430 0.9430 0.6157
0.3926 0.3926 0.7213
0.6074 0.6074 0.2787
```

=====

Most stable: ii. Least stable: i.

=====

i:
A plane-wave DFT calculation with PBE was carried out for an optimized crystal structure of Ce2Si3Ni5.

Calculated density ... 7.00 Mg/m³

Geometry as POSCAR:
```
Ce2Si3Ni5
1.0
1.9792 -12.1686 0.0000
1.9792 12.1686 0.0000
0.0000 0.0000 6.4821
Ce Si Ni
4 6 10
Direct
0.0193 0.9807 0.5000
0.3247 0.6753 0.5012
0.6753 0.3247 0.0012
0.9807 0.0193 0.0000
0.1168 0.8832 0.2630
0.2769 0.7231 0.0537
0.4378 0.5622 0.2836
0.5622 0.4378 0.7836
0.7231 0.2769 0.5537
0.8832 0.1168 0.7630
0.0887 0.9114 0.9246
0.2070 0.7930 0.3586
0.2300 0.7700 0.7438
0.3731 0.6269 0.9783
0.4398 0.5602 0.6706
0.5602 0.4398 0.1706
0.6269 0.3731 0.4783
0.7700 0.2300 0.2438
0.7930 0.2070 0.8586
0.9114 0.0887 0.4246
```

=====

ii:
A plane-wave DFT calculation with PBE was carried out for an optimized crystal structure of Ce2Si3Ni5.

Calculated density ... 7.15 Mg/m³

Geometry as POSCAR:
```
Ce2Si3Ni5
1.0
-4.9490 5.3984 2.8588
4.9490 -5.3984 2.8588
4.9490 5.3984 -2.8588
Ce Si Ni
4 6 10
Direct
0.1266 0.2372 0.3639
0.3734 0.7372 0.1106
0.6266 0.2628 0.8894
0.8734 0.7628 0.6361
0.1300 0.8840 0.0140
0.2500 0.7500 0.5000
0.3700 0.3840 0.7540
0.6300 0.6160 0.2460
0.7500 0.2500 0.5000
0.8700 0.1160 0.9860
0.0103 0.7500 0.2603
0.1096 0.6493 0.7589
0.2500 0.2500 0.0000
0.3904 0.1493 0.5397
0.4897 0.7500 0.7397
0.5103 0.2500 0.2603
0.6096 0.8507 0.4603
0.7500 0.7500 0.0000
0.8904 0.3507 0.2411
0.9897 0.2500 0.7397
```

=====

Most stable: ii. Least stable: i.

=====

i:
A plane-wave DFT calculation with PBE was carried out for an optimized crystal structure of Ce2Si3Ni.

Calculated density ... 6.04 Mg/m³

Geometry as POSCAR:
```
Ce2Si3Ni
1.0
0.0000 4.1704 6.9473
4.0154 0.0000 6.9473
4.0154 4.1704 0.0000
Ce Si Ni
4 6 2
Direct
0.2471 0.7529 0.2471
0.2500 0.2500 0.2500
0.7500 0.7500 0.7500
0.7529 0.2471 0.7529
0.1697 0.1697 0.8303
0.1710 0.6592 0.8290
0.3408 0.8290 0.6592
0.6592 0.1710 0.3408
0.8290 0.3408 0.1710
0.8303 0.8303 0.1697
0.3329 0.3329 0.6671
0.6671 0.6671 0.3329
```

=====

ii:
A plane-wave DFT calculation with PBE was carried out for an optimized crystal structure of Ce2Si3Ni.

Calculated density ... 6.07 Mg/m³

Geometry as POSCAR:
```
Ce2Si3Ni
1.0
4.0425 0.0000 0.0000
0.0000 4.1176 0.0000
0.0000 0.0000 6.9520
Ce Si Ni
2 3 1
Direct
0.0000 0.0000 0.0000
0.5000 0.0000 0.4980
0.0000 0.5000 0.3231
0.0000 0.5000 0.6633
0.5000 0.5000 0.8426
0.5000 0.5000 0.1687
```

=====

iii:
A plane-wave DFT calculation with PBE was carried out for an optimized crystal structure of Ce2Si3Ni.

Calculated density ... 6.12 Mg/m³

Geometry as POSCAR:
```
Ce2Si3Ni
1.0
4.0649 0.0000 0.0000
-2.0325 3.5203 0.0000
0.0000 0.0000 8.0189
Ce Si Ni
2 3 1
Direct
0.0000 0.0000 0.2419
0.0000 0.0000 0.7581
0.3333 0.6667 0.5000
0.6667 0.3333 0.0000
0.6667 0.3333 0.5000
0.3333 0.6667 0.0000
```

=====

Most stable: i. Least stable: iii.

=====

i:
A plane-wave DFT calculation with PBE was carried out for an optimized crystal structure of Ce2Si3Ni2.

Calculated density ... 6.60 Mg/m³

Geometry as POSCAR:
```
Ce2Si3Ni2
1.0
2.1100 -8.7745 0.0000
2.1100 8.7745 0.0000
0.0000 0.0000 6.5499
Ce Si Ni
4 6 4
Direct
0.0526 0.9474 0.7500
0.1598 0.8402 0.2500
0.8402 0.1598 0.7500
0.9474 0.0526 0.2500
0.2209 0.7791 0.7500
0.4373 0.5627 0.5668
0.4373 0.5627 0.9332
0.5627 0.4373 0.0668
0.5627 0.4373 0.4332
0.7791 0.2209 0.2500
0.3073 0.6927 0.0537
0.3073 0.6927 0.4463
0.6927 0.3073 0.5537
0.6927 0.3073 0.9463
```

=====

ii:
A plane-wave DFT calculation with PBE was carried out for an optimized crystal structure of Ce2Si3Ni2.

Calculated density ... 6.77 Mg/m³

Geometry as POSCAR:
```
Ce2Si3Ni2
1.0
4.9044 -2.0293 0.0000
4.9044 2.0293 0.0000
-2.3524 0.0000 5.9351
Ce Si Ni
2 3 2
Direct
0.1559 0.1559 0.2939
0.8441 0.8441 0.7061
0.3965 0.3965 0.0644
0.5000 0.5000 0.5000
0.6035 0.6035 0.9356
0.1440 0.1440 0.7796
0.8560 0.8560 0.2204
```

=====

Most stable: i. Least stable: ii.

=====

i:
A plane-wave DFT calculation with PBE was carried out for an optimized crystal structure of CeSi3Ni3.

Calculated density ... 6.13 Mg/m³

Geometry as POSCAR:
```
CeSi3Ni3
1.0
3.0989 1.7892 6.5179
-3.0989 1.7892 6.5179
0.0000 -3.5783 6.5179
Ce Si Ni
2 6 6
Direct
0.1587 0.1587 0.1587
0.8413 0.8413 0.8413
0.0682 0.2284 0.5739
0.2284 0.5739 0.0682
0.4261 0.9318 0.7716
0.5739 0.0682 0.2284
0.7716 0.4261 0.9318
0.9318 0.7716 0.4261
0.1949 0.3790 0.6544
0.3456 0.8051 0.6210
0.3790 0.6544 0.1949
0.6210 0.3456 0.8051
0.6544 0.1949 0.3790
0.8051 0.6210 0.3456
```

=====

ii:
A plane-wave DFT calculation with PBE was carried out for an optimized crystal structure of CeSi3Ni3.

Calculated density ... 5.50 Mg/m³

Geometry as POSCAR:
```
CeSi3Ni3
1.0
6.2283 0.0000 0.0000
0.0000 6.2283 0.0000
0.0000 0.0000 6.2283
Ce Si Ni
2 6 6
Direct
0.0000 0.0000 0.0000
0.5000 0.5000 0.5000
0.0000 0.2500 0.5000
0.0000 0.7500 0.5000
0.2500 0.5000 0.0000
0.5000 0.0000 0.2500
0.5000 0.0000 0.7500
0.7500 0.5000 0.0000
0.0000 0.5000 0.2500
0.0000 0.5000 0.7500
0.2500 0.0000 0.5000
0.5000 0.2500 0.0000
0.5000 0.7500 0.0000
0.7500 0.0000 0.5000
```

=====

Most stable: ii. Least stable: i.